Entry 1:
This record from Alexandria describes a geometry-optimized NiP3 structure. The functional is GGA-PBE.

Output
ΔE to the lowest computed polymorph = 706 meV per atom
crystal system = tetragonal
E = -5.099 eV/atom

a b c (Å): 4.5389 4.5389 2.5291
angles (deg): 90.00 90.00 90.00
Space group P4/mmm (No. 123)
Unique sites:
Ni1 0.0000 0.0000 0.0000 (multiplicity 1)
P1 0.0000 0.5000 0.5000 (multiplicity 2)
P2 0.5000 0.5000 0.0000 (multiplicity 1)

---

Entry 2:
This record from Alexandria describes a geometry-optimized EuGaGe4 structure. The functional is GGA-PBE.

Output
crystal system = cubic
E = -5.455 eV/atom

a b c (Å): 7.9628 7.9628 7.9628
angles (deg): 90.00 90.00 90.00
Space group F-43m (No. 216)
Unique sites:
Eu1 0.0000 0.0000 0.0000 (multiplicity 4)
Ga1 0.2500 0.2500 0.7500 (multiplicity 4)
Ge1 0.1242 0.1242 0.3758 (multiplicity 16)

---

Entry 3:
This record from Alexandria describes a geometry-optimized Cd2CuRh structure. The functional is GGA-PBE.

Output
crystal system = tetragonal
E = -3.309 eV/atom

a b c (Å): 3.0979 3.0979 7.1333
angles (deg): 90.00 90.00 90.00
Space group P4mm (No. 99)
Unique sites:
Cd1 0.0000 0.0000 0.0000 (multiplicity 1)
Cd2 0.5000 0.5000 0.3259 (multiplicity 1)
Cu1 0.0000 0.0000 0.5565 (multiplicity 1)
Rh1 0.5000 0.5000 0.7516 (multiplicity 1)